No. 1
RbTmPbS3 after structural relaxation. Source: OQMD via LeMat-Bulk, functional PBE. Values from VASP.

Geometry as Quantum ESPRESSO input:
```
&SYSTEM
  ibrav = 0, nat = 12, ntyp = 4
/
ATOMIC_SPECIES
S 32.06 S.upf
Tm 168.93 Tm.upf
Pb 207.20 Pb.upf
Rb 85.47 Rb.upf
CELL_PARAMETERS angstrom
1.988 -8.818 0.000
1.988 8.818 0.000
0.000 0.000 11.499
ATOMIC_POSITIONS crystal
S 0.398 0.602 0.003
S 0.997 0.003 0.250
S 0.602 0.398 0.503
S 0.398 0.602 0.497
S 0.602 0.398 0.997
S 0.003 0.997 0.750
Tm 0.000 0.000 0.000
Tm 0.000 0.000 0.500
Pb 0.390 0.610 0.250
Pb 0.610 0.390 0.750
Rb 0.664 0.336 0.250
Rb 0.336 0.664 0.750
```

SG: Cmcm (63)
excess energy over the best structure of this formula in the dataset: 0.0774 eV per atom



No. 2
RbTmPbS3 after structural relaxation. Source: OQMD via LeMat-Bulk, functional PBE. Values from VASP.

Geometry as Quantum ESPRESSO input:
```
&SYSTEM
  ibrav = 0, nat = 24, ntyp = 4
/
ATOMIC_SPECIES
S 32.06 S.upf
Pb 207.20 Pb.upf
Rb 85.47 Rb.upf
Tm 168.93 Tm.upf
CELL_PARAMETERS angstrom
15.372 0.000 0.000
0.000 4.043 0.000
0.000 0.000 12.161
ATOMIC_POSITIONS crystal
S 0.906 0.250 0.456
S 0.370 0.750 0.300
S 0.916 0.750 0.752
S 0.094 0.750 0.544
S 0.594 0.750 0.956
S 0.084 0.250 0.248
S 0.630 0.250 0.700
S 0.406 0.250 0.044
S 0.130 0.250 0.800
S 0.870 0.750 0.200
S 0.584 0.250 0.252
S 0.416 0.750 0.748
Pb 0.956 0.250 0.105
Pb 0.044 0.750 0.895
Pb 0.456 0.250 0.395
Pb 0.544 0.750 0.605
Rb 0.266 0.250 0.599
Rb 0.234 0.750 0.099
Rb 0.766 0.250 0.901
Rb 0.734 0.750 0.401
Tm 0.002 0.250 0.637
Tm 0.498 0.750 0.137
Tm 0.998 0.750 0.363
Tm 0.502 0.250 0.863
```

SG: Pnma (62)
excess energy over the best structure of this formula in the dataset: 0.0000 eV per atom



No. 3
Rb2SmSb2Pb after structural relaxation. Source: OQMD via LeMat-Bulk, functional PBE. Values from VASP.

Geometry as Quantum ESPRESSO input:
```
&SYSTEM
  ibrav = 0, nat = 6, ntyp = 4
/
ATOMIC_SPECIES
Sb 121.76 Sb.upf
Rb 85.47 Rb.upf
Pb 207.20 Pb.upf
Sm 150.36 Sm.upf
CELL_PARAMETERS angstrom
-3.021 3.436 -1.035
-1.326 -4.483 -0.382
-4.475 0.165 13.609
ATOMIC_POSITIONS crystal
Sb 0.333 0.667 0.174
Sb 0.667 0.333 0.701
Rb 0.667 0.333 0.997
Rb 0.333 0.667 0.531
Pb 0.000 0.000 0.800
Sm 0.000 0.000 0.266
```

SG: P3m1 (156)



No. 4
RbSmPbSe3 after structural relaxation. Source: OQMD via LeMat-Bulk, functional PBE. Values from VASP.

Geometry as Quantum ESPRESSO input:
```
&SYSTEM
  ibrav = 0, nat = 12, ntyp = 4
/
ATOMIC_SPECIES
Sm 150.36 Sm.upf
Se 78.96 Se.upf
Pb 207.20 Pb.upf
Rb 85.47 Rb.upf
CELL_PARAMETERS angstrom
2.801 2.411 8.349
-5.693 0.479 -7.122
-6.837 -8.909 4.866
ATOMIC_POSITIONS crystal
Sm 0.000 0.000 0.000
Sm 0.000 0.000 0.500
Se 0.612 0.388 0.007
Se 0.997 0.003 0.250
Se 0.388 0.612 0.993
Se 0.003 0.997 0.750
Se 0.612 0.388 0.493
Se 0.388 0.612 0.507
Pb 0.606 0.394 0.250
Pb 0.394 0.606 0.750
Rb 0.665 0.335 0.750
Rb 0.335 0.665 0.250
```

SG: Cmcm (63)



No. 5
Rb2TaPbSe6 after structural relaxation. Source: OQMD via LeMat-Bulk, functional PBE. Values from VASP.

Geometry as Quantum ESPRESSO input:
```
&SYSTEM
  ibrav = 0, nat = 10, ntyp = 4
/
ATOMIC_SPECIES
Se 78.96 Se.upf
Pb 207.20 Pb.upf
Rb 85.47 Rb.upf
Ta 180.95 Ta.upf
CELL_PARAMETERS angstrom
0.000 5.513 5.513
5.513 0.000 5.513
5.513 5.513 0.000
ATOMIC_POSITIONS crystal
Se 0.731 0.269 0.269
Se 0.269 0.269 0.731
Se 0.731 0.269 0.731
Se 0.269 0.731 0.269
Se 0.269 0.731 0.731
Se 0.731 0.731 0.269
Pb 0.000 0.000 0.000
Rb 0.750 0.750 0.750
Rb 0.250 0.250 0.250
Ta 0.500 0.500 0.500
```

SG: Fm-3m (225)



No. 6
RbTbPbSe3 after structural relaxation. Source: OQMD via LeMat-Bulk, functional PBE. Values from VASP.

Geometry as Quantum ESPRESSO input:
```
&SYSTEM
  ibrav = 0, nat = 12, ntyp = 4
/
ATOMIC_SPECIES
Se 78.96 Se.upf
Pb 207.20 Pb.upf
Rb 85.47 Rb.upf
Tb 158.93 Tb.upf
CELL_PARAMETERS angstrom
2.104 -8.719 0.000
2.104 8.719 0.000
0.000 0.000 12.116
ATOMIC_POSITIONS crystal
Se 0.612 0.388 0.005
Se 0.388 0.612 0.995
Se 0.005 0.995 0.750
Se 0.995 0.005 0.250
Se 0.612 0.388 0.495
Se 0.388 0.612 0.505
Pb 0.606 0.394 0.250
Pb 0.394 0.606 0.750
Rb 0.325 0.675 0.250
Rb 0.675 0.325 0.750
Tb 0.000 0.000 0.000
Tb 0.000 0.000 0.500
```

SG: Cmcm (63)



No. 7
RbTmPbSe3 after structural relaxation. Source: OQMD via LeMat-Bulk, functional PBE. Values from VASP.

Geometry as Quantum ESPRESSO input:
```
&SYSTEM
  ibrav = 0, nat = 12, ntyp = 4
/
ATOMIC_SPECIES
Se 78.96 Se.upf
Tm 168.93 Tm.upf
Rb 85.47 Rb.upf
Pb 207.20 Pb.upf
CELL_PARAMETERS angstrom
2.065 -8.466 0.000
2.065 8.466 0.000
0.000 0.000 11.992
ATOMIC_POSITIONS crystal
Se 0.613 0.387 0.003
Se 0.994 0.006 0.250
Se 0.006 0.994 0.750
Se 0.613 0.387 0.497
Se 0.387 0.613 0.997
Se 0.387 0.613 0.503
Tm 0.000 0.000 0.000
Tm 0.000 0.000 0.500
Rb 0.685 0.315 0.750
Rb 0.315 0.685 0.250
Pb 0.609 0.391 0.250
Pb 0.391 0.609 0.750
```

SG: Cmcm (63)
excess energy over the best structure of this formula in the dataset: 0.0901 eV per atom



No. 8
RbTmPbSe3 after structural relaxation. Source: OQMD via LeMat-Bulk, functional PBE. Values from VASP.

Geometry as Quantum ESPRESSO input:
```
&SYSTEM
  ibrav = 0, nat = 24, ntyp = 4
/
ATOMIC_SPECIES
Se 78.96 Se.upf
Pb 207.20 Pb.upf
Tm 168.93 Tm.upf
Rb 85.47 Rb.upf
CELL_PARAMETERS angstrom
15.965 0.000 0.000
0.000 4.191 0.000
0.000 0.000 12.251
ATOMIC_POSITIONS crystal
Se 0.636 0.250 0.691
Se 0.413 0.750 0.745
Se 0.087 0.250 0.245
Se 0.098 0.750 0.542
Se 0.402 0.250 0.042
Se 0.587 0.250 0.255
Se 0.913 0.750 0.755
Se 0.902 0.250 0.458
Se 0.136 0.250 0.809
Se 0.864 0.750 0.191
Se 0.364 0.750 0.309
Se 0.598 0.750 0.958
Pb 0.957 0.250 0.097
Pb 0.043 0.750 0.903
Pb 0.543 0.750 0.597
Pb 0.457 0.250 0.403
Tm 0.995 0.750 0.359
Tm 0.495 0.750 0.141
Tm 0.005 0.250 0.641
Tm 0.505 0.250 0.859
Rb 0.766 0.250 0.914
Rb 0.234 0.750 0.086
Rb 0.734 0.750 0.414
Rb 0.266 0.250 0.586
```

SG: Pnma (62)
excess energy over the best structure of this formula in the dataset: 0.0000 eV per atom



No. 9
RbSmPb after structural relaxation. Source: OQMD via LeMat-Bulk, functional PBE. Values from VASP.

Geometry as Quantum ESPRESSO input:
```
&SYSTEM
  ibrav = 0, nat = 3, ntyp = 3
/
ATOMIC_SPECIES
Pb 207.20 Pb.upf
Rb 85.47 Rb.upf
Sm 150.36 Sm.upf
CELL_PARAMETERS angstrom
0.000 3.864 3.864
3.864 0.000 3.864
3.864 3.864 0.000
ATOMIC_POSITIONS crystal
Pb 0.250 0.250 0.250
Rb 0.750 0.750 0.750
Sm 0.000 0.000 0.000
```

SG: F-43m (216)



No. 10
Rb4Zn2SnPb after structural relaxation. Source: OQMD via LeMat-Bulk, functional PBE. Values from VASP.

Geometry as Quantum ESPRESSO input:
```
&SYSTEM
  ibrav = 0, nat = 8, ntyp = 4
/
ATOMIC_SPECIES
Pb 207.20 Pb.upf
Rb 85.47 Rb.upf
Zn 65.41 Zn.upf
Sn 118.71 Sn.upf
CELL_PARAMETERS angstrom
-1.166 2.018 -6.371
-5.082 4.422 2.331
6.154 3.598 0.014
ATOMIC_POSITIONS crystal
Pb 0.000 0.755 0.755
Rb 0.500 0.481 0.821
Rb 0.000 0.514 0.178
Rb 0.000 0.178 0.514
Rb 0.500 0.821 0.481
Zn 0.253 0.003 0.003
Zn 0.747 0.003 0.003
Sn 0.500 0.245 0.245
```

SG: Amm2 (38)



No. 11
RbTbTe3Pb after structural relaxation. Source: OQMD via LeMat-Bulk, functional PBE. Values from VASP.

Geometry as Quantum ESPRESSO input:
```
&SYSTEM
  ibrav = 0, nat = 12, ntyp = 4
/
ATOMIC_SPECIES
Tb 158.93 Tb.upf
Te 127.60 Te.upf
Pb 207.20 Pb.upf
Rb 85.47 Rb.upf
CELL_PARAMETERS angstrom
2.261 -8.539 0.000
2.261 8.539 0.000
0.000 0.000 12.795
ATOMIC_POSITIONS crystal
Tb 0.500 0.500 0.000
Tb 0.500 0.500 0.500
Te 0.875 0.125 0.489
Te 0.125 0.875 0.511
Te 0.125 0.875 0.989
Te 0.875 0.125 0.011
Te 0.537 0.463 0.250
Te 0.463 0.537 0.750
Pb 0.918 0.082 0.250
Pb 0.082 0.918 0.750
Rb 0.217 0.783 0.250
Rb 0.783 0.217 0.750
```

SG: Cmcm (63)



No. 12
RbTcPb after structural relaxation. Source: OQMD via LeMat-Bulk, functional PBE. Values from VASP.

Geometry as Quantum ESPRESSO input:
```
&SYSTEM
  ibrav = 0, nat = 3, ntyp = 3
/
ATOMIC_SPECIES
Rb 85.47 Rb.upf
Pb 207.20 Pb.upf
Tc 98.00 Tc.upf
CELL_PARAMETERS angstrom
1.206 -4.940 0.131
0.467 -2.387 4.468
-3.476 -3.430 1.427
ATOMIC_POSITIONS crystal
Rb 0.250 0.250 0.250
Pb 0.750 0.750 0.750
Tc 0.500 0.500 0.500
```

SG: F-43m (216)
excess energy over the best structure of this formula in the dataset: 0.0000 eV per atom



| no. | total energy (eV per atom) |
| --- | --- |
| 1 | -4.853 |
| 2 | -4.930 |
| 3 | -3.417 |
| 4 | -4.500 |
| 5 | -4.377 |
| 6 | -4.487 |
| 7 | -4.445 |
| 8 | -4.535 |
| 9 | -2.913 |
| 10 | -1.903 |
| 11 | -4.027 |
| 12 | -3.724 |